An optimized crystal structure of PmGdYSn. Source: Alexandria, functional PBE.

The calculated formation energy comes out at -254.9 meV/atom. As for the density of states at the Fermi level: 4.59 states/eV/f.u. The total energy is -7.580 eV/atom. The value obtained for the total moment is 2.15 μB/atom.

It has space group F-43m (No. 216), with a = 7.740 Å, b = 7.740 Å, c = 7.740 Å, α = 90.00°, β = 90.00° and γ = 90.00°. The asymmetric unit holds Pm at (0.000, 0.000, 0.000), Gd at (0.250, 0.250, 0.250), Y at (0.250, 0.250, 0.750) and Sn at (0.000, 0.000, 0.500).